# 1
# RbTe8Rh5 PBE optimized geometry
data_RbTe8Rh5
_space_group_name_H-M_alt 'C 1 2/m 1'
_space_group_IT_number 12
_cell_length_a 20.616
_cell_length_b 4.068
_cell_length_c 9.085
_cell_angle_alpha 90.00
_cell_angle_beta 104.43
_cell_angle_gamma 90.00
loop_
_space_group_symop_operation_xyz
'x,y,z'
'-x,-y,-z'
'-x,y,-z'
'x,-y,z'
'x+1/2,y+1/2,z'
'-x+1/2,-y+1/2,-z'
'-x+1/2,y+1/2,-z'
'x+1/2,-y+1/2,z'
loop_
_atom_site_label
_atom_site_type_symbol
_atom_site_fract_x
_atom_site_fract_y
_atom_site_fract_z
_atom_site_occupancy
Rb1 Rb 0.000 0.000 0.000 1
Te1 Te 0.072 0.000 0.651 1
Te2 Te 0.090 0.500 0.332 1
Te3 Te 0.178 0.500 0.986 1
Te4 Te 0.237 0.500 0.649 1
Rh1 Rh 0.000 0.500 0.500 1
Rh2 Rh 0.160 0.000 0.480 1
Rh3 Rh 0.203 0.000 0.817 1
# Raw formation energy = -0.46 eV per atom

***

# 2
# RbTeRh PBE optimized geometry
data_RbTeRh
_space_group_name_H-M_alt 'P 4/n m m'
_space_group_IT_number 129
_cell_length_a 4.349
_cell_length_b 4.349
_cell_length_c 10.723
_cell_angle_alpha 90.00
_cell_angle_beta 90.00
_cell_angle_gamma 90.00
loop_
_space_group_symop_operation_xyz
'x,y,z'
'-x,-y,-z'
'-y+1/2,x,z'
'y+1/2,-x,-z'
'-x+1/2,-y+1/2,z'
'x+1/2,y+1/2,-z'
'y,-x+1/2,z'
'-y,x+1/2,-z'
'x+1/2,-y,-z'
'-x+1/2,y,z'
'-y,-x,-z'
'y,x,z'
'-x,y+1/2,-z'
'x,-y+1/2,z'
'y+1/2,x+1/2,-z'
'-y+1/2,-x+1/2,z'
loop_
_atom_site_label
_atom_site_type_symbol
_atom_site_fract_x
_atom_site_fract_y
_atom_site_fract_z
_atom_site_occupancy
Rb1 Rb 0.250 0.250 0.189 1
Te1 Te 0.250 0.250 0.641 1
Rh1 Rh 0.250 0.750 0.500 1
# Raw formation energy = -0.41 eV per atom

***

# 3
# RbTe3Rh PBE optimized geometry
data_RbTe3Rh
_space_group_name_H-M_alt 'P m -3 m'
_space_group_IT_number 221
_space_group_name_Hall '-P 4 2 3'
_cell_length_a 6.133
_cell_length_b 6.133
_cell_length_c 6.133
_cell_angle_alpha 90.00
_cell_angle_beta 90.00
_cell_angle_gamma 90.00
loop_
_atom_site_label
_atom_site_type_symbol
_atom_site_fract_x
_atom_site_fract_y
_atom_site_fract_z
_atom_site_occupancy
Rb1 Rb 0.000 0.000 0.000 1
Te1 Te 0.000 0.000 0.500 1
Rh1 Rh 0.500 0.500 0.500 1
# Raw formation energy = 1.64 eV per atom

***

# 4
# RbTiTe3Rh PBE optimized geometry
data_RbTiTe3Rh
_space_group_name_H-M_alt 'P 1 21/m 1'
_space_group_IT_number 11
_cell_length_a 9.511
_cell_length_b 3.910
_cell_length_c 10.783
_cell_angle_alpha 90.00
_cell_angle_beta 116.14
_cell_angle_gamma 90.00
loop_
_space_group_symop_operation_xyz
'x,y,z'
'-x,-y,-z'
'-x,y+1/2,-z'
'x,-y+1/2,z'
loop_
_atom_site_label
_atom_site_type_symbol
_atom_site_fract_x
_atom_site_fract_y
_atom_site_fract_z
_atom_site_occupancy
Rb1 Rb 0.249 0.250 0.266 1
Ti1 Ti 0.290 0.750 0.834 1
Te1 Te 0.109 0.250 0.874 1
Te2 Te 0.221 0.750 0.556 1
Te3 Te 0.476 0.750 0.132 1
Rh1 Rh 0.081 0.250 0.618 1
# Raw formation energy = -0.69 eV per atom

***

# 5
# RbTi2TeRh PBE optimized geometry
data_RbTi2TeRh
_space_group_name_H-M_alt 'P 4/m m m'
_space_group_IT_number 123
_space_group_name_Hall '-P 4 2'
_cell_length_a 4.903
_cell_length_b 4.903
_cell_length_c 5.752
_cell_angle_alpha 90.00
_cell_angle_beta 90.00
_cell_angle_gamma 90.00
loop_
_atom_site_label
_atom_site_type_symbol
_atom_site_fract_x
_atom_site_fract_y
_atom_site_fract_z
_atom_site_occupancy
Rb1 Rb 0.000 0.000 0.000 1
Ti1 Ti 0.000 0.500 0.500 1
Te1 Te 0.500 0.500 0.000 1
Rh1 Rh 0.500 0.500 0.500 1
# Raw formation energy = 0.32 eV per atom

***

# 6
# RbTl2TeRh PBE optimized geometry
data_RbTl2TeRh
_space_group_name_H-M_alt 'P 4/m m m'
_space_group_IT_number 123
_space_group_name_Hall '-P 4 2'
_cell_length_a 5.336
_cell_length_b 5.336
_cell_length_c 5.675
_cell_angle_alpha 90.00
_cell_angle_beta 90.00
_cell_angle_gamma 90.00
loop_
_atom_site_label
_atom_site_type_symbol
_atom_site_fract_x
_atom_site_fract_y
_atom_site_fract_z
_atom_site_occupancy
Rb1 Rb 0.000 0.000 0.000 1
Tl1 Tl 0.000 0.500 0.500 1
Te1 Te 0.500 0.500 0.000 1
Rh1 Rh 0.500 0.500 0.500 1
# Raw formation energy = -0.24 eV per atom

***

# 7
# Rb3U3Te8Rh PBE optimized geometry
data_Rb3U3Te8Rh
_space_group_name_H-M_alt 'R -3 m'
_space_group_IT_number 166
_space_group_name_Hall '-R 3 2"'
_cell_length_a 8.6170
_cell_length_b 8.6170
_cell_length_c 26.8346
_cell_angle_alpha 90.00
_cell_angle_beta 90.00
_cell_angle_gamma 120.00
loop_
_atom_site_label
_atom_site_type_symbol
_atom_site_fract_x
_atom_site_fract_y
_atom_site_fract_z
_atom_site_occupancy
Rb1 Rb 0.0000 0.5000 0.0000 1
U1 U 0.0000 0.5000 0.5000 1
Te1 Te 0.0000 0.0000 0.2355 1
Te2 Te 0.0290 0.5145 0.2286 1
Rh1 Rh 0.0000 0.0000 0.5000 1
# Raw formation energy = -0.71 eV per atom

***

# 8
# RbZn2TeRh PBE optimized geometry
data_RbZn2TeRh
_space_group_name_H-M_alt 'P 4/m m m'
_space_group_IT_number 123
_space_group_name_Hall '-P 4 2'
_cell_length_a 5.711
_cell_length_b 5.711
_cell_length_c 5.146
_cell_angle_alpha 90.00
_cell_angle_beta 90.00
_cell_angle_gamma 90.00
loop_
_atom_site_label
_atom_site_type_symbol
_atom_site_fract_x
_atom_site_fract_y
_atom_site_fract_z
_atom_site_occupancy
Rb1 Rb 0.000 0.000 0.000 1
Zn1 Zn 0.000 0.500 0.000 1
Te1 Te 0.500 0.500 0.500 1
Rh1 Rh 0.000 0.000 0.500 1
# Raw formation energy = 1.39 eV per atom

***

# 9
# RbTi3Rh PBE optimized geometry
data_RbTi3Rh
_space_group_name_H-M_alt 'P m -3 m'
_space_group_IT_number 221
_space_group_name_Hall '-P 4 2 3'
_cell_length_a 4.606
_cell_length_b 4.606
_cell_length_c 4.606
_cell_angle_alpha 90.00
_cell_angle_beta 90.00
_cell_angle_gamma 90.00
loop_
_atom_site_label
_atom_site_type_symbol
_atom_site_fract_x
_atom_site_fract_y
_atom_site_fract_z
_atom_site_occupancy
Rb1 Rb 0.000 0.000 0.000 1
Ti1 Ti 0.000 0.000 0.500 1
Rh1 Rh 0.500 0.500 0.500 1
# Distance to the lowest polymorph of the same formula = 1428 meV per atom

***

# 10
# RbTi2Rh PBE optimized geometry
data_RbTi2Rh
_space_group_name_H-M_alt 'F m -3 m'
_space_group_IT_number 225
_space_group_name_Hall '-F 4 2 3'
_cell_length_a 6.716
_cell_length_b 6.716
_cell_length_c 6.716
_cell_angle_alpha 90.00
_cell_angle_beta 90.00
_cell_angle_gamma 90.00
loop_
_atom_site_label
_atom_site_type_symbol
_atom_site_fract_x
_atom_site_fract_y
_atom_site_fract_z
_atom_site_occupancy
Rb1 Rb 0.000 0.000 0.000 1
Ti1 Ti 0.250 0.250 0.250 1
Rh1 Rh 0.000 0.000 0.500 1
# Distance to the lowest polymorph of the same formula = 0 meV per atom

***

# 11
# RbTi2Rh PBE optimized geometry
data_RbTi2Rh
_space_group_name_H-M_alt 'I 41/a m d'
_space_group_IT_number 141
_cell_length_a 5.688
_cell_length_b 5.688
_cell_length_c 15.958
_cell_angle_alpha 90.00
_cell_angle_beta 90.00
_cell_angle_gamma 90.00
loop_
_space_group_symop_operation_xyz
'x,y,z'
'-x,-y,-z'
'-y+1/4,x+3/4,z+1/4'
'y+1/4,-x+3/4,-z+1/4'
'-x+1/2,-y,z+1/2'
'x+1/2,y,-z+1/2'
'y+1/4,-x+1/4,z+3/4'
'-y+1/4,x+1/4,-z+3/4'
'x,-y,-z'
'-x,y,z'
'-y+1/4,-x+1/4,-z+3/4'
'y+1/4,x+1/4,z+3/4'
'-x+1/2,y,-z+1/2'
'x+1/2,-y,z+1/2'
'y+1/4,x+3/4,-z+1/4'
'-y+1/4,-x+3/4,z+1/4'
'x+1/2,y+1/2,z+1/2'
'-x+1/2,-y+1/2,-z+1/2'
'-y+3/4,x+1/4,z+3/4'
'y+3/4,-x+1/4,-z+3/4'
'-x,-y+1/2,z'
'x,y+1/2,-z'
'y+3/4,-x+3/4,z+1/4'
'-y+3/4,x+3/4,-z+1/4'
'x+1/2,-y+1/2,-z+1/2'
'-x+1/2,y+1/2,z+1/2'
'-y+3/4,-x+3/4,-z+1/4'
'y+3/4,x+3/4,z+1/4'
'-x,y+1/2,-z'
'x,-y+1/2,z'
'y+3/4,x+1/4,-z+3/4'
'-y+3/4,-x+1/4,z+3/4'
loop_
_atom_site_label
_atom_site_type_symbol
_atom_site_fract_x
_atom_site_fract_y
_atom_site_fract_z
_atom_site_occupancy
Rb1 Rb 0.000 0.250 0.375 1
Ti1 Ti 0.000 0.000 0.000 1
Rh1 Rh 0.000 0.250 0.875 1
# Distance to the lowest polymorph of the same formula = 46 meV per atom

***

# 12
# RbTi3Rh PBE optimized geometry
data_RbTi3Rh
_space_group_name_H-M_alt 'P m -3 m'
_space_group_IT_number 221
_space_group_name_Hall '-P 4 2 3'
_cell_length_a 4.935
_cell_length_b 4.935
_cell_length_c 4.935
_cell_angle_alpha 90.00
_cell_angle_beta 90.00
_cell_angle_gamma 90.00
loop_
_atom_site_label
_atom_site_type_symbol
_atom_site_fract_x
_atom_site_fract_y
_atom_site_fract_z
_atom_site_occupancy
Rb1 Rb 0.000 0.000 0.000 1
Ti1 Ti 0.000 0.500 0.500 1
Rh1 Rh 0.500 0.500 0.500 1
# Distance to the lowest polymorph of the same formula = 0 meV per atom

***

Number 1: M_tot 0.00 μB/cell. Number 2: M_tot 0.61 μB/cell. Number 3: M_tot 1.78 μB/cell. Number 4: M_tot 0.00 μB/cell. Number 5: M_tot 2.78 μB/cell. Number 6: M_tot 0.00 μB/cell. Number 7: M_tot 23.80 μB/cell. Number 8: M_tot 1.52 μB/cell. Number 9: M_tot 1.46 μB/cell. Number 10: M_tot 2.72 μB/cell. Number 11: M_tot 8.70 μB/cell. Number 12: M_tot 0.00 μB/cell.